1.
Here is crystalline CaAcNCl at its relaxed geometry from Alexandria via LeMat-Bulk. Energies are from PBE.

abc: 3.7738 3.7738 21.7837
angles: 90.00 90.00 120.00
Space group R3m (No. 160, hexagonal axes)
Unique sites:
Ca: 0.0000 0.0000 0.0000 [3 per cell]
Ac: 0.0000 0.0000 0.7939 [3 per cell]
N: 0.0000 0.0000 0.3905 [3 per cell]
Cl: 0.0000 0.0000 0.5743 [3 per cell]

Properties
Density of states at the Fermi level in states/eV/atom: 0.208
Formation energy without anion corrections in eV/atom: -1.41

2.
Here is crystalline BaHAu at its relaxed geometry from Alexandria via LeMat-Bulk. Energies are from PBE.

abc: 4.9397 3.9772 7.1181
angles: 90.00 90.00 90.00
Space group Pmma (No. 51)
Unique sites:
Ba: 0.2500 0.0000 0.2258 [2 per cell]
H: 0.2500 0.5000 0.8674 [2 per cell]
Au: 0.2500 0.5000 0.6083 [2 per cell]

Properties
Density of states at the Fermi level in states/eV/atom: 0.344
Energy above the most stable polymorph in this dataset in eV/atom: 0.080

3.
Here is crystalline Ba3PaGe2O9 at its relaxed geometry from Alexandria via LeMat-Bulk. Energies are from PBE.

abc: 5.9002 5.9002 7.2723
angles: 90.00 90.00 120.00
Space group P-3m1 (No. 164)
Unique sites:
Ba: 0.0000 0.0000 0.0000 [1 per cell]
Ba: 0.3333 0.6667 0.6916 [2 per cell]
Pa: 0.0000 0.0000 0.5000 [1 per cell]
Ge: 0.3333 0.6667 0.1584 [2 per cell]
O: 0.0000 0.5000 0.0000 [3 per cell]
O: 0.1741 0.3483 0.3262 [6 per cell]

Properties
Density of states at the Fermi level in states/eV/atom: 0.185
Formation energy without anion corrections in eV/atom: -2.53

4.
Here is crystalline Pu2CuH6Ru at its relaxed geometry from Alexandria via LeMat-Bulk. Energies are from PBE.

abc: 5.2172 5.2313 7.3710
angles: 90.00 90.00 90.00
Space group Immm (No. 71)
Unique sites:
Pu: 0.0000 0.0000 0.2503 [4 per cell]
Cu: 0.0000 0.5000 0.0000 [2 per cell]
H: 0.0000 0.5000 0.2579 [4 per cell]
H: 0.2415 0.2580 0.5000 [8 per cell]
Ru: 0.0000 0.5000 0.5000 [2 per cell]

Properties
Density of states at the Fermi level in states/eV/atom: 2.096
Energy in eV per formula unit: -64.7

5.
Here is crystalline SrPbF3 at its relaxed geometry from Alexandria via LeMat-Bulk. Energies are from PBE.

abc: 4.8884 4.8884 4.8884
angles: 90.00 90.00 90.00
Space group Pm-3m (No. 221)
Unique sites:
Sr: 0.0000 0.0000 0.0000 [1 per cell]
Pb: 0.5000 0.5000 0.5000 [1 per cell]
F: 0.0000 0.5000 0.5000 [3 per cell]

Properties
Density of states at the Fermi level in states/eV/atom: 0.510
Formation energy without anion corrections in eV/atom: -2.19
Energy above the most stable polymorph in this dataset in eV/atom: 0.406

6.
Here is crystalline Si4Ni at its relaxed geometry from Alexandria via LeMat-Bulk. Energies are from PBE.

abc: 5.6534 5.6534 4.1655
angles: 90.00 90.00 90.00
Space group I4/m (No. 87)
Unique sites:
Si: 0.1151 0.3021 0.0000 [8 per cell]
Ni: 0.0000 0.0000 0.5000 [2 per cell]

Properties
Density of states at the Fermi level in states/eV/atom: 0.385
Formation energy without anion corrections in eV/atom: 0.24
Energy above the most stable polymorph in this dataset in eV/atom: 0.047